Material: ZrU2V
Method: DFT, PBE-GGA
State: relaxed

Values from the calculation:
- energy of formation (eV per atom) = 0.4099

Cell: 3.693 3.693 6.119 Å, 90.00 90.00 90.00°
Space group P4/mmm (No. 123)
Asymmetric unit:
Zr 0.000 0.000 0.000 [1 per cell]
U 0.500 0.500 0.297 [2 per cell]
V 0.000 0.000 0.500 [1 per cell]

---

Material: SrAc3C2N6
Method: DFT, PBE-GGA
State: relaxed

Values from the calculation:
- formation energy without anion corrections (eV per formula unit) = -8.47

Cell: 5.6817 5.6817 7.0689 Å, 90.00 90.00 120.00°
Space group P-3m1 (No. 164)
Asymmetric unit:
Sr 0.0000 0.0000 0.0000 [1 per cell]
Ac 0.0000 0.0000 0.5000 [1 per cell]
Ac 0.3333 0.6667 0.1815 [2 per cell]
C 0.3333 0.6667 0.7636 [2 per cell]
N 0.1937 0.3873 0.7713 [6 per cell]

---

Material: LaMn2Tc
Method: DFT, PBE-GGA
State: relaxed

Values from the calculation:
- energy of formation (eV per atom) = 0.1916

Cell: 4.1695 4.1695 16.0643 Å, 90.00 90.00 120.00°
Space group R-3m (No. 166, hexagonal axes)
Asymmetric unit:
La 0.0000 0.0000 0.0000 [3 per cell]
Mn 0.0000 0.0000 0.1978 [6 per cell]
Tc 0.0000 0.0000 0.5000 [3 per cell]

---

Material: Tb4Dy2Y7
Method: DFT, PBE-GGA
State: relaxed

Values from the calculation:
- energy of formation (eV per atom) = 0.0209

Cell: 6.164 7.964 9.435 Å, 65.09 83.81 82.56°
Space group P-1 (No. 2)
Asymmetric unit:
Tb 0.040 0.424 0.346 [2 per cell]
Tb 0.193 0.117 0.731 [2 per cell]
Dy 0.346 0.809 0.115 [2 per cell]
Y 0.114 0.268 0.038 [2 per cell]
Y 0.268 0.962 0.423 [2 per cell]
Y 0.423 0.654 0.808 [2 per cell]
Y 0.500 0.500 0.500 [1 per cell]

---

Material: RbBN2
Method: DFT, PBE-GGA
State: relaxed

Values from the calculation:
- formation energy without anion corrections (eV per formula unit) = 0.72

Cell: 5.101 5.101 7.315 Å, 90.00 90.00 90.00°
Space group I4_1/amd (No. 141, origin choice 2)
Asymmetric unit:
Rb 0.000 0.250 0.375 [4 per cell]
B 0.000 0.250 0.875 [4 per cell]
N 0.000 0.000 0.000 [8 per cell]

---

Material: Ce2HI3
Method: DFT, PBE-GGA
State: relaxed

Cell: 19.259 4.186 12.261 Å, 90.00 121.63 90.00°
Space group C2/m (No. 12)
Asymmetric unit:
Ce 0.070 0.000 0.463 [4 per cell]
Ce 0.134 0.500 0.787 [4 per cell]
H 0.077 0.000 0.664 [4 per cell]
I 0.042 0.500 0.242 [4 per cell]
I 0.162 0.000 0.010 [4 per cell]
I 0.217 0.500 0.620 [4 per cell]

---

Material: PmSm3Tl3
Method: DFT, PBE-GGA
State: relaxed

Values from the calculation:
- energy of formation (eV per atom) = -0.2483

Cell: 9.6487 9.6487 5.2880 Å, 90.00 90.00 120.00°
Space group P6_3/m (No. 176)
Asymmetric unit:
Pm 0.3333 0.6667 0.2500 [2 per cell]
Sm 0.0013 0.2383 0.7500 [6 per cell]
Tl 0.0694 0.6195 0.7500 [6 per cell]

---

Material: Pr3SnAsBr
Method: DFT, PBE-GGA
State: relaxed

Values from the calculation:
- formation energy without anion corrections (eV per formula unit) = -7.00

Cell: 7.671 4.287 11.635 Å, 90.00 102.48 90.00°
Space group P2_1/m (No. 11)
Asymmetric unit:
Pr 0.045 0.250 0.155 [2 per cell]
Pr 0.216 0.750 0.504 [2 per cell]
Pr 0.452 0.750 0.853 [2 per cell]
Sn 0.150 0.250 0.696 [2 per cell]
As 0.266 0.750 0.059 [2 per cell]
Br 0.377 0.250 0.367 [2 per cell]

---

Material: Mn2Zn3Co3
Method: DFT, PBE-GGA
State: relaxed

Values from the calculation:
- energy of formation (eV per atom) = -0.0087

Cell: 3.710 3.724 7.200 Å, 90.00 90.00 90.00°
Space group Pmmm (No. 47)
Asymmetric unit:
Mn 0.000 0.000 0.237 [2 per cell]
Zn 0.000 0.500 0.500 [1 per cell]
Zn 0.500 0.500 0.241 [2 per cell]
Co 0.000 0.500 0.000 [1 per cell]
Co 0.500 0.000 0.000 [1 per cell]
Co 0.500 0.000 0.500 [1 per cell]

---

Material: V2ZnRhS
Method: DFT, PBE-GGA
State: relaxed

Values from the calculation:
- formation energy without anion corrections (eV per formula unit) = 0.21

Cell: 4.256 4.256 4.384 Å, 90.00 90.00 90.00°
Space group P4/mmm (No. 123)
Asymmetric unit:
V 0.000 0.500 0.000 [2 per cell]
Zn 0.000 0.000 0.500 [1 per cell]
Rh 0.500 0.500 0.500 [1 per cell]
S 0.500 0.500 0.000 [1 per cell]

---

Material: Cd2CuPb
Method: DFT, PBE-GGA
State: relaxed

Values from the calculation:
- energy of formation (eV per atom) = 0.2086

Cell: 5.734 11.446 3.255 Å, 90.00 120.92 90.00°
Space group C2/m (No. 12)
Asymmetric unit:
Cd 0.250 0.250 0.000 [4 per cell]
Cu 0.000 0.000 0.000 [2 per cell]
Pb 0.000 0.500 0.000 [2 per cell]

---

Material: PuVTe3
Method: DFT, PBE-GGA
State: relaxed

Values from the calculation:
- formation energy without anion corrections (eV per formula unit) = -3.01

Cell: 7.370 6.169 12.156 Å, 90.00 90.02 90.00°
Space group P2_1/m (No. 11)
Asymmetric unit:
Pu 0.047 0.250 0.171 [2 per cell]
Pu 0.452 0.750 0.169 [2 per cell]
V 0.250 0.002 0.419 [4 per cell]
Te 0.061 0.750 0.262 [2 per cell]
Te 0.078 0.750 0.581 [2 per cell]
Te 0.250 0.000 0.972 [4 per cell]
Te 0.423 0.250 0.581 [2 per cell]
Te 0.437 0.250 0.263 [2 per cell]

---

Here are the calculated raw total energy numbers, same order: -9.651; -7.573; -8.217; -5.592; -5.894; -4.336; -3.964; -5.277; -5.444; -6.156; -2.200; -7.177 (eV per atom).